Version 1
First-principles (PBE) data for a relaxed structure of CsSc3V, as listed in Alexandria via LeMat-Bulk.

## Properties
Mass density: 3.716 g/cm3

Cell: 5.2223 5.2223 5.2223 Å, 90.00 90.00 90.00°
Fractional coordinates of all 5 atoms:
Cs 0.0000 0.0000 0.0000
Sc 0.0000 0.0000 0.5000
Sc 0.0000 0.5000 0.0000
Sc 0.5000 0.0000 0.0000
V 0.5000 0.5000 0.5000

Version 2
First-principles (PBE) data for a relaxed structure of CsSc3V, as listed in Alexandria via LeMat-Bulk.

## Properties
Mass density: 3.479 g/cm3

Cell: 5.3384 5.3384 5.3384 Å, 90.00 90.00 90.00°
Fractional coordinates of all 5 atoms:
Cs 0.0000 0.0000 0.0000
Sc 0.0000 0.5000 0.5000
Sc 0.5000 0.0000 0.5000
Sc 0.5000 0.5000 0.0000
V 0.5000 0.5000 0.5000

Most stable to least stable, the ends of the list are version 2 and version 1.

Version 1
First-principles (PBE) data for a relaxed structure of CsSc3W, as listed in Alexandria via LeMat-Bulk.

## Properties
Mass density: 4.869 g/cm3

Cell: 5.3602 5.3602 5.3602 Å, 90.00 90.00 90.00°
Fractional coordinates of all 5 atoms:
Cs 0.0000 0.0000 0.0000
Sc 0.0000 0.5000 0.5000
Sc 0.5000 0.0000 0.5000
Sc 0.5000 0.5000 0.0000
W 0.5000 0.5000 0.5000

Version 2
First-principles (PBE) data for a relaxed structure of CsSc3W, as listed in Alexandria via LeMat-Bulk.

## Properties
Mass density: 5.756 g/cm3

Cell: 5.0694 5.0694 5.0694 Å, 90.00 90.00 90.00°
Fractional coordinates of all 5 atoms:
Cs 0.0000 0.0000 0.0000
Sc 0.0000 0.0000 0.5000
Sc 0.0000 0.5000 0.0000
Sc 0.5000 0.0000 0.0000
W 0.5000 0.5000 0.5000

Most stable to least stable, the ends of the list are version 1 and version 2.

Version 1
First-principles (PBE) data for a relaxed structure of CsY3Sc, as listed in Alexandria via LeMat-Bulk.

## Properties
Mass density: 3.581 g/cm3

Cell: 5.9075 5.9075 5.9075 Å, 90.00 90.00 90.00°
Fractional coordinates of all 5 atoms:
Cs 0.0000 0.0000 0.0000
Y 0.0000 0.5000 0.5000
Y 0.5000 0.0000 0.5000
Y 0.5000 0.5000 0.0000
Sc 0.5000 0.5000 0.5000

Version 2
First-principles (PBE) data for a relaxed structure of CsY3Sc, as listed in Alexandria via LeMat-Bulk.

## Properties
Mass density: 4.178 g/cm3

Cell: 5.6114 5.6114 5.6114 Å, 90.00 90.00 90.00°
Fractional coordinates of all 5 atoms:
Cs 0.0000 0.0000 0.0000
Y 0.0000 0.0000 0.5000
Y 0.0000 0.5000 0.0000
Y 0.5000 0.0000 0.0000
Sc 0.5000 0.5000 0.5000

Most stable to least stable, the ends of the list are version 1 and version 2.

Version 1
First-principles (PBE) data for a relaxed structure of CsYSc3, as listed in Alexandria via LeMat-Bulk.

## Properties
Mass density: 3.076 g/cm3

Cell: 5.7746 5.7746 5.7746 Å, 90.00 90.00 90.00°
Fractional coordinates of all 5 atoms:
Cs 0.0000 0.0000 0.0000
Y 0.5000 0.5000 0.5000
Sc 0.0000 0.5000 0.5000
Sc 0.5000 0.0000 0.5000
Sc 0.5000 0.5000 0.0000

Version 2
First-principles (PBE) data for a relaxed structure of CsYSc3, as listed in Alexandria via LeMat-Bulk.

## Properties
Mass density: 3.895 g/cm3

Cell: 5.3377 5.3377 5.3377 Å, 90.00 90.00 90.00°
Fractional coordinates of all 5 atoms:
Cs 0.0000 0.0000 0.0000
Y 0.5000 0.5000 0.5000
Sc 0.0000 0.0000 0.5000
Sc 0.0000 0.5000 0.0000
Sc 0.5000 0.0000 0.0000

Most stable to least stable, the ends of the list are version 1 and version 2.

Version 1
First-principles (PBE) data for a relaxed structure of CsScZn2, as listed in Alexandria via LeMat-Bulk.

## Properties
Mass density: 3.389 g/cm3

Cell: 10.4304 10.4304 10.4304 Å, 148.86 148.86 44.61°
Fractional coordinates of all 8 atoms:
Cs 0.3750 0.6250 0.7500
Cs 0.6250 0.3750 0.2500
Sc 0.1250 0.8750 0.2500
Sc 0.8750 0.1250 0.7500
Zn 0.0000 0.0000 0.0000
Zn 0.0000 0.0000 0.5000
Zn 0.0000 0.5000 0.0000
Zn 0.5000 0.0000 0.5000

Version 2
First-principles (PBE) data for a relaxed structure of CsScZn2, as listed in Alexandria via LeMat-Bulk.

## Properties
Mass density: 4.457 g/cm3

Cell: 5.4586 5.4586 5.4586 Å, 60.00 60.00 60.00°
Fractional coordinates of all 4 atoms:
Cs 0.0000 0.0000 0.0000
Sc 0.5000 0.5000 0.5000
Zn 0.2500 0.2500 0.2500
Zn 0.7500 0.7500 0.7500

Most stable to least stable, the ends of the list are version 1 and version 2.

Version 1
First-principles (PBE) data for a relaxed structure of CsZrSc2, as listed in Alexandria via LeMat-Bulk.

## Properties
Mass density: 4.376 g/cm3

Cell: 12.1091 12.1091 12.1091 Å, 16.11 16.11 16.11°
Fractional coordinates of all 4 atoms:
Cs 0.0000 0.0000 0.0000
Zr 0.5000 0.5000 0.5000
Sc 0.0984 0.0984 0.0984
Sc 0.9016 0.9016 0.9016

Version 2
First-principles (PBE) data for a relaxed structure of CsZrSc2, as listed in Alexandria via LeMat-Bulk.

## Properties
Mass density: 2.750 g/cm3

Cell: 9.7855 9.7855 9.7855 Å, 140.29 140.29 57.41°
Fractional coordinates of all 8 atoms:
Cs 0.3750 0.6250 0.7500
Cs 0.6250 0.3750 0.2500
Zr 0.1250 0.8750 0.2500
Zr 0.8750 0.1250 0.7500
Sc 0.0000 0.0000 0.0000
Sc 0.0000 0.0000 0.5000
Sc 0.0000 0.5000 0.0000
Sc 0.5000 0.0000 0.5000

Most stable to least stable, the ends of the list are version 1 and version 2.